Record 1
! Ac3ZnRh4 PBE relaxed; values from VASP
! * calculated total energy: -5.931 eV per atom
! * formation enthalpy at 0 K: -4.44 eV per formula unit
! * Fermi-level density of states: 6.22 states/eV per cell
&SYSTEM
  ibrav = 0, nat = 16, ntyp = 3
/
ATOMIC_SPECIES
Ac 227.00 Ac.upf
Zn 65.41 Zn.upf
Rh 102.91 Rh.upf
CELL_PARAMETERS angstrom
4.334 0.000 0.000
0.000 5.907 0.000
0.000 0.000 15.637
ATOMIC_POSITIONS angstrom
Ac 0.000 0.000 0.000
Ac 0.000 2.954 3.044
Ac 0.000 2.954 12.593
Ac 2.167 0.000 4.774
Ac 2.167 0.000 10.863
Ac 2.167 2.954 7.819
Zn 0.000 0.000 7.819
Zn 2.167 2.954 0.000
Rh 0.000 1.609 5.910
Rh 0.000 1.609 9.727
Rh 0.000 4.298 5.910
Rh 0.000 4.298 9.727
Rh 2.167 1.345 1.909
Rh 2.167 1.345 13.729
Rh 2.167 4.562 1.909
Rh 2.167 4.562 13.729

=====

Record 2
! Cs2CeDy2Se6 PBE relaxed; values from VASP
! * calculated total energy: -5.162 eV per atom
! * uncorrected formation energy: -1.730 eV per atom
&SYSTEM
  ibrav = 0, nat = 11, ntyp = 4
/
ATOMIC_SPECIES
Cs 132.91 Cs.upf
Ce 140.12 Ce.upf
Dy 162.50 Dy.upf
Se 78.96 Se.upf
CELL_PARAMETERS angstrom
3.644 -6.315 0.000
3.644 6.315 0.000
-2.458 0.000 8.580
ATOMIC_POSITIONS angstrom
Cs 3.644 4.198 0.000
Cs 3.644 -4.198 0.000
Ce -1.229 0.000 4.290
Dy 2.415 2.106 4.290
Dy 2.415 -2.106 4.290
Se -0.020 2.099 5.852
Se 1.191 0.000 2.731
Se -0.020 -2.099 5.852
Se 4.850 2.099 2.728
Se 3.638 0.000 5.849
Se 4.850 -2.099 2.728

=====

Record 3
! CaTbPtRh PBE relaxed; values from VASP
! * calculated total energy: -5.862 eV per atom
! * energy relative to the lowest polymorph listed for this composition: 0 meV per atom
! * formation enthalpy at 0 K: -3.43 eV per formula unit
! * Fermi-level density of states: 2.41 states/eV per cell
&SYSTEM
  ibrav = 0, nat = 4, ntyp = 4
/
ATOMIC_SPECIES
Ca 40.08 Ca.upf
Tb 158.93 Tb.upf
Pt 195.08 Pt.upf
Rh 102.91 Rh.upf
CELL_PARAMETERS angstrom
3.436 0.000 0.000
0.000 3.436 0.000
0.000 0.000 7.135
ATOMIC_POSITIONS angstrom
Ca 0.000 0.000 0.000
Tb 0.000 0.000 3.588
Pt 1.718 1.718 1.903
Rh 1.718 1.718 5.222

=====

Record 4
! LiCl3 PBE relaxed; values from VASP
! * calculated total energy: -2.730 eV per atom
! * energy relative to the lowest polymorph listed for this composition: 0 meV per atom
! * Fermi-level density of states: 0.00 states/eV per cell
! * uncorrected formation energy: -0.866 eV per atom
&SYSTEM
  ibrav = 0, nat = 8, ntyp = 2
/
ATOMIC_SPECIES
Li 6.94 Li.upf
Cl 35.45 Cl.upf
CELL_PARAMETERS angstrom
4.666 0.000 0.000
0.000 4.233 0.000
-0.822 0.000 12.361
ATOMIC_POSITIONS angstrom
Li 0.758 1.058 5.974
Li 3.086 3.175 6.387
Cl 0.175 1.058 10.801
Cl 0.899 3.175 2.243
Cl 0.755 3.175 7.109
Cl 3.089 1.058 5.252
Cl 2.945 1.058 10.118
Cl 3.668 3.175 1.560

=====

Record 5
! Pa2Al2FeSi4 PBE relaxed; values from VASP
! * calculated total energy: -6.742 eV per atom
! * Fermi-level density of states: 8.09 states/eV per cell
! * uncorrected formation energy: -0.450 eV per atom
&SYSTEM
  ibrav = 0, nat = 9, ntyp = 4
/
ATOMIC_SPECIES
Pa 231.04 Pa.upf
Al 26.98 Al.upf
Fe 55.84 Fe.upf
Si 28.09 Si.upf
CELL_PARAMETERS angstrom
-3.013 3.013 4.132
3.013 -3.013 4.132
3.013 3.013 -4.132
ATOMIC_POSITIONS angstrom
Pa 3.013 0.000 2.066
Pa 0.000 3.013 2.066
Al 0.000 0.000 1.769
Al 0.000 0.000 6.495
Fe 0.000 0.000 4.132
Si 1.379 1.379 0.000
Si 1.635 -1.635 4.132
Si -1.635 1.635 4.132
Si 1.635 1.635 4.132

=====

Record 6
! LaMn2Fe PBE relaxed; values from VASP
! * calculated total energy: -7.580 eV per atom
! * energy relative to the lowest polymorph listed for this composition: 148 meV per atom
! * formation enthalpy at 0 K: 1.41 eV per formula unit
! * Fermi-level density of states: 6.09 states/eV per cell
&SYSTEM
  ibrav = 0, nat = 4, ntyp = 3
/
ATOMIC_SPECIES
La 138.91 La.upf
Mn 54.94 Mn.upf
Fe 55.84 Fe.upf
CELL_PARAMETERS angstrom
3.000 0.000 0.000
0.000 3.230 0.000
0.000 0.000 7.070
ATOMIC_POSITIONS angstrom
La 0.000 0.000 0.000
Mn 0.000 0.000 3.471
Mn 1.500 1.615 4.666
Fe 1.500 1.615 2.243

=====

Record 7
! BaCa4Tl15 PBE relaxed; values from VASP
! * calculated total energy: -2.509 eV per atom
! * formation enthalpy at 0 K: -4.76 eV per formula unit
! * Fermi-level density of states: 14.80 states/eV per cell
&SYSTEM
  ibrav = 0, nat = 20, ntyp = 3
/
ATOMIC_SPECIES
Ba 137.33 Ba.upf
Ca 40.08 Ca.upf
Tl 204.38 Tl.upf
CELL_PARAMETERS angstrom
4.926 0.000 0.000
0.000 4.926 0.000
0.000 0.000 24.570
ATOMIC_POSITIONS angstrom
Ba 0.000 0.000 0.000
Ca 0.000 0.000 5.076
Ca 0.000 0.000 9.871
Ca 0.000 0.000 14.699
Ca 0.000 0.000 19.494
Tl 0.000 2.463 2.651
Tl 0.000 2.463 7.463
Tl 0.000 2.463 12.285
Tl 0.000 2.463 17.107
Tl 0.000 2.463 21.919
Tl 2.463 0.000 2.651
Tl 2.463 0.000 7.463
Tl 2.463 0.000 12.285
Tl 2.463 0.000 17.107
Tl 2.463 0.000 21.919
Tl 2.463 2.463 0.000
Tl 2.463 2.463 5.026
Tl 2.463 2.463 9.903
Tl 2.463 2.463 14.667
Tl 2.463 2.463 19.544

=====

Record 8
! CsPa2CuS6 PBE relaxed; values from VASP
! * calculated total energy: -5.992 eV per atom
! * uncorrected formation energy: -1.121 eV per atom
&SYSTEM
  ibrav = 0, nat = 20, ntyp = 4
/
ATOMIC_SPECIES
Cs 132.91 Cs.upf
Pa 231.04 Pa.upf
Cu 63.55 Cu.upf
S 32.06 S.upf
CELL_PARAMETERS angstrom
6.079 -7.774 0.000
6.079 7.774 0.000
-3.082 0.000 7.393
ATOMIC_POSITIONS angstrom
Cs 3.767 6.191 5.544
Cs 5.309 -6.191 1.848
Pa 1.828 1.415 6.342
Pa 3.369 -1.415 2.645
Pa 5.707 1.415 4.747
Pa 7.248 -1.415 1.051
Cu 5.309 4.902 1.848
Cu 3.767 -4.902 5.544
S -0.456 1.490 5.427
S 2.069 3.619 7.350
S 1.085 -1.490 1.731
S 3.050 0.940 3.954
S 5.466 3.619 3.738
S 4.591 -0.940 0.258
S 4.485 0.940 7.135
S 3.610 -3.619 3.654
S 6.026 -0.940 3.438
S 7.991 1.490 5.662
S 7.007 -3.619 0.042
S 9.532 -1.490 1.966

=====

Record 9
! Al3Os4 PBE relaxed; values from VASP
! * calculated total energy: -8.131 eV per atom
! * energy relative to the lowest polymorph listed for this composition: 0 meV per atom
! * formation enthalpy at 0 K: -0.77 eV per formula unit
! * Fermi-level density of states: 11.13 states/eV per cell
&SYSTEM
  ibrav = 0, nat = 14, ntyp = 2
/
ATOMIC_SPECIES
Al 26.98 Al.upf
Os 190.23 Os.upf
CELL_PARAMETERS angstrom
3.039 0.000 0.000
0.000 3.039 0.000
0.000 0.000 21.234
ATOMIC_POSITIONS angstrom
Al 0.000 0.000 0.000
Al 0.000 0.000 6.082
Al 0.000 0.000 15.152
Al 1.520 1.520 4.535
Al 1.520 1.520 10.617
Al 1.520 1.520 16.699
Os 0.000 0.000 3.233
Os 0.000 0.000 9.151
Os 0.000 0.000 12.083
Os 0.000 0.000 18.001
Os 1.520 1.520 1.466
Os 1.520 1.520 7.384
Os 1.520 1.520 13.850
Os 1.520 1.520 19.768

=====

Record 10
! Ce4InB3Rh12 PBE relaxed; values from VASP
! * calculated total energy: -7.284 eV per atom
! * formation enthalpy at 0 K: -10.96 eV per formula unit
! * Fermi-level density of states: 14.07 states/eV per cell
&SYSTEM
  ibrav = 0, nat = 20, ntyp = 4
/
ATOMIC_SPECIES
Ce 140.12 Ce.upf
In 114.82 In.upf
B 10.81 B.upf
Rh 102.91 Rh.upf
CELL_PARAMETERS angstrom
-4.380 4.380 4.380
4.380 -4.380 4.380
4.380 4.380 -4.380
ATOMIC_POSITIONS angstrom
Ce 2.190 2.190 -2.190
Ce 2.190 -2.190 2.190
Ce -2.190 2.190 2.190
Ce 2.190 2.190 2.190
In 0.000 0.000 0.000
B 4.380 0.000 0.000
B 0.000 4.380 0.000
B 0.000 0.000 4.380
Rh 2.458 0.000 0.000
Rh 6.301 0.000 0.000
Rh 4.380 2.190 0.000
Rh 4.380 0.000 2.190
Rh 0.000 2.458 0.000
Rh 0.000 0.000 2.458
Rh 2.190 4.380 0.000
Rh 2.190 0.000 4.380
Rh 0.000 6.301 0.000
Rh 0.000 0.000 6.301
Rh 0.000 4.380 2.190
Rh 0.000 2.190 4.380

=====

Record 11
! NiMo3 PBE relaxed; values from VASP
! * calculated total energy: -9.280 eV per atom
! * formation enthalpy at 0 K: 1.16 eV per formula unit
! * Fermi-level density of states: 11.16 states/eV per cell
&SYSTEM
  ibrav = 0, nat = 12, ntyp = 2
/
ATOMIC_SPECIES
Ni 58.69 Ni.upf
Mo 95.94 Mo.upf
CELL_PARAMETERS angstrom
2.720 0.000 0.000
-1.360 2.355 0.000
0.000 0.000 28.013
ATOMIC_POSITIONS angstrom
Ni 0.000 0.000 0.000
Ni 0.000 1.570 18.675
Ni 1.360 0.785 9.338
Mo 0.000 0.000 7.170
Mo 0.000 0.000 14.006
Mo 0.000 0.000 20.843
Mo 0.000 1.570 4.669
Mo 0.000 1.570 11.505
Mo 0.000 1.570 25.845
Mo 1.360 0.785 2.168
Mo 1.360 0.785 16.507
Mo 1.360 0.785 23.344

=====

Record 12
! NaAc4Tl2 PBE relaxed; values from VASP
! * calculated total energy: -3.328 eV per atom
! * formation enthalpy at 0 K: -0.81 eV per formula unit
! * Fermi-level density of states: 6.47 states/eV per cell
&SYSTEM
  ibrav = 0, nat = 7, ntyp = 3
/
ATOMIC_SPECIES
Na 22.99 Na.upf
Ac 227.00 Ac.upf
Tl 204.38 Tl.upf
CELL_PARAMETERS angstrom
2.915 1.683 9.071
-2.915 1.683 9.071
0.000 -3.366 9.071
ATOMIC_POSITIONS angstrom
Na 0.000 0.000 0.000
Ac 0.000 0.000 3.685
Ac 0.000 0.000 10.642
Ac 0.000 0.000 16.572
Ac 0.000 0.000 23.529
Tl 0.000 0.000 7.119
Tl 0.000 0.000 20.095

=====

Record 13
! Sc2BeNbGa PBE relaxed; values from VASP
! * calculated total energy: -4.923 eV per atom
! * formation enthalpy at 0 K: 4.87 eV per formula unit
! * Fermi-level density of states: 3.83 states/eV per cell
&SYSTEM
  ibrav = 0, nat = 5, ntyp = 4
/
ATOMIC_SPECIES
Sc 44.96 Sc.upf
Be 9.01 Be.upf
Nb 92.91 Nb.upf
Ga 69.72 Ga.upf
CELL_PARAMETERS angstrom
4.947 0.000 0.000
0.000 4.947 0.000
0.000 0.000 5.073
ATOMIC_POSITIONS angstrom
Sc 0.000 2.473 0.000
Sc 2.473 0.000 0.000
Be 0.000 0.000 2.536
Nb 2.473 2.473 0.000
Ga 2.473 2.473 2.536

=====

Record 14
! PmSm9Tl2 PBE relaxed; values from VASP
! * calculated total energy: -4.447 eV per atom
! * formation enthalpy at 0 K: -1.41 eV per formula unit
! * Fermi-level density of states: 15.22 states/eV per cell
&SYSTEM
  ibrav = 0, nat = 12, ntyp = 3
/
ATOMIC_SPECIES
Pm 145.00 Pm.upf
Sm 150.36 Sm.upf
Tl 204.38 Tl.upf
CELL_PARAMETERS angstrom
4.961 0.000 0.000
0.000 4.961 0.000
0.000 0.000 15.319
ATOMIC_POSITIONS angstrom
Pm 0.000 0.000 0.000
Sm 0.000 2.481 2.664
Sm 0.000 2.481 7.660
Sm 0.000 2.481 12.655
Sm 2.481 0.000 2.664
Sm 2.481 0.000 7.660
Sm 2.481 0.000 12.655
Sm 2.481 2.481 0.000
Sm 2.481 2.481 5.189
Sm 2.481 2.481 10.131
Tl 0.000 0.000 5.200
Tl 0.000 0.000 10.119

=====

Record 15
! LiZnIr2 PBE relaxed; values from VASP
! * calculated total energy: -5.263 eV per atom
! * formation enthalpy at 0 K: -0.14 eV per formula unit
! * Fermi-level density of states: 8.02 states/eV per cell
&SYSTEM
  ibrav = 0, nat = 8, ntyp = 3
/
ATOMIC_SPECIES
Li 6.94 Li.upf
Zn 65.41 Zn.upf
Ir 192.22 Ir.upf
CELL_PARAMETERS angstrom
3.748 0.000 0.000
0.000 3.748 0.000
0.000 0.000 7.927
ATOMIC_POSITIONS angstrom
Li 0.000 0.000 0.000
Li 1.874 1.874 3.964
Zn 0.000 0.000 3.964
Zn 1.874 1.874 0.000
Ir 0.000 1.874 1.982
Ir 0.000 1.874 5.945
Ir 1.874 0.000 1.982
Ir 1.874 0.000 5.945

=====

Record 16
! Tm2AlRu PBE relaxed; values from VASP
! * calculated total energy: -5.978 eV per atom
! * formation enthalpy at 0 K: -1.95 eV per formula unit
! * Fermi-level density of states: 1.19 states/eV per cell
&SYSTEM
  ibrav = 0, nat = 4, ntyp = 3
/
ATOMIC_SPECIES
Tm 168.93 Tm.upf
Al 26.98 Al.upf
Ru 101.07 Ru.upf
CELL_PARAMETERS angstrom
3.440 0.000 0.000
0.000 3.440 0.000
0.000 0.000 7.029
ATOMIC_POSITIONS angstrom
Tm 0.000 0.000 1.612
Tm 0.000 0.000 5.417
Al 1.720 1.720 3.515
Ru 1.720 1.720 0.000

=====

Record 17
! RbScTl2Cl6 PBE relaxed; values from VASP
! * calculated total energy: -3.980 eV per atom
! * Fermi-level density of states: 0.00 states/eV per cell
! * uncorrected formation energy: -1.669 eV per atom
&SYSTEM
  ibrav = 0, nat = 10, ntyp = 4
/
ATOMIC_SPECIES
Rb 85.47 Rb.upf
Sc 44.96 Sc.upf
Tl 204.38 Tl.upf
Cl 35.45 Cl.upf
CELL_PARAMETERS angstrom
3.884 2.242 6.511
-3.884 2.242 6.511
0.000 -4.484 6.511
ATOMIC_POSITIONS angstrom
Rb 0.000 0.000 0.000
Sc 0.000 0.000 9.603
Tl 0.000 0.000 5.492
Tl 0.000 0.000 15.404
Cl -1.995 0.164 8.046
Cl -1.309 -1.641 10.965
Cl 0.856 -1.810 8.046
Cl -0.767 1.955 10.965
Cl 1.140 1.646 8.046
Cl 2.076 -0.313 10.965

=====

Record 18
! TbSnSb2 PBE relaxed; values from VASP
! * calculated total energy: -4.691 eV per atom
! * energy relative to the lowest polymorph listed for this composition: 0 meV per atom
! * Fermi-level density of states: 2.02 states/eV per cell
! * uncorrected formation energy: -0.472 eV per atom
&SYSTEM
  ibrav = 0, nat = 4, ntyp = 3
/
ATOMIC_SPECIES
Tb 158.93 Tb.upf
Sn 118.71 Sn.upf
Sb 121.76 Sb.upf
CELL_PARAMETERS angstrom
4.160 0.000 0.000
0.000 4.160 0.000
0.000 0.000 6.339
ATOMIC_POSITIONS angstrom
Tb 0.000 0.000 0.000
Sn 0.000 0.000 3.170
Sb 2.080 2.080 1.527
Sb 2.080 2.080 4.813

=====

Record 19
! Sm8Ir5Pt PBE relaxed; values from VASP
! * calculated total energy: -7.024 eV per atom
! * formation enthalpy at 0 K: -10.24 eV per formula unit
! * Fermi-level density of states: 4.83 states/eV per cell
&SYSTEM
  ibrav = 0, nat = 14, ntyp = 3
/
ATOMIC_SPECIES
Sm 150.36 Sm.upf
Ir 192.22 Ir.upf
Pt 195.08 Pt.upf
CELL_PARAMETERS angstrom
-4.398 4.398 4.388
4.398 -4.398 4.388
4.398 4.398 -4.388
ATOMIC_POSITIONS angstrom
Sm 1.609 -0.571 2.739
Sm 0.557 2.745 0.567
Sm 2.789 4.969 -1.649
Sm 3.826 2.789 1.649
Sm -0.557 6.051 0.567
Sm 0.571 1.609 6.037
Sm -1.653 3.841 3.821
Sm 1.653 4.955 3.821
Ir 0.000 0.000 0.000
Ir 3.284 2.211 -1.088
Ir 2.187 -1.113 5.476
Ir 1.113 2.187 3.300
Ir 2.211 5.511 1.088
Pt 4.398 0.000 2.194

=====

Record 20
! HoTh4Co2 PBE relaxed; values from VASP
! * calculated total energy: -7.050 eV per atom
! * formation enthalpy at 0 K: -0.88 eV per formula unit
! * Fermi-level density of states: 15.82 states/eV per cell
&SYSTEM
  ibrav = 0, nat = 14, ntyp = 3
/
ATOMIC_SPECIES
Ho 164.93 Ho.upf
Th 232.04 Th.upf
Co 58.93 Co.upf
CELL_PARAMETERS angstrom
7.053 0.000 0.000
0.000 6.789 0.000
-3.229 0.000 7.739
ATOMIC_POSITIONS angstrom
Ho -0.857 1.697 2.164
Ho 4.681 5.092 5.575
Th -0.616 1.697 5.462
Th 1.778 3.402 0.728
Th 1.778 6.782 0.728
Th 0.777 5.092 3.873
Th 3.046 1.697 3.865
Th 2.045 0.007 7.011
Th 2.045 3.387 7.011
Th 4.440 5.092 2.277
Co -0.364 5.092 1.108
Co -0.003 5.092 6.683
Co 3.826 1.697 1.056
Co 4.187 1.697 6.630